(1)
Computed, not measured: ZnSn3B after structural relaxation at the GGA-PBEsol level of DFT.

```
ZnSn3B
1.0
4.7691 0.0000 0.0000
0.0000 4.7691 0.0000
0.0000 0.0000 4.7691
Zn Sn B
1 3 1
direct
0.0000 0.0000 0.0000 Zn
0.0000 0.5000 0.5000 Sn
0.5000 0.0000 0.5000 Sn
0.5000 0.5000 0.0000 Sn
0.5000 0.5000 0.5000 B
```

Properties
* VASP energy: -3.649 eV per atom
* E_form: 3.1 eV/f.u.
* volume: 108 Å³ per cell
* calculated density: 6.62 g/cm3



(2)
Computed, not measured: Zn2SnB after structural relaxation at the GGA-PBEsol level of DFT.

```
Zn2SnB
1.0
6.3677 0.0000 0.0000
0.0000 6.3677 0.0000
0.0000 0.0000 6.3677
Zn Sn B
8 4 4
direct
0.2500 0.2500 0.2500 Zn
0.2500 0.2500 0.7500 Zn
0.2500 0.7500 0.2500 Zn
0.2500 0.7500 0.7500 Zn
0.7500 0.2500 0.2500 Zn
0.7500 0.2500 0.7500 Zn
0.7500 0.7500 0.2500 Zn
0.7500 0.7500 0.7500 Zn
0.0000 0.0000 0.0000 Sn
0.0000 0.5000 0.5000 Sn
0.5000 0.0000 0.5000 Sn
0.5000 0.5000 0.0000 Sn
0.0000 0.0000 0.5000 B
0.0000 0.5000 0.0000 B
0.5000 0.0000 0.0000 B
0.5000 0.5000 0.5000 B
```

Properties
* VASP energy: -2.679 eV per atom
* E_form: 3.7 eV/f.u.
* volume: 258 Å³ per cell
* calculated density: 6.70 g/cm3



(3)
Computed, not measured: Zr5Sn3B after structural relaxation at the GGA-PBEsol level of DFT.

```
Zr5Sn3B
1.0
8.4676 0.0000 0.0000
-4.2338 7.3331 0.0000
0.0000 0.0000 5.7608
Zr Sn B
10 6 2
direct
0.0000 0.2313 0.2500 Zr
0.0000 0.7687 0.7500 Zr
0.2313 0.0000 0.2500 Zr
0.2313 0.2313 0.7500 Zr
0.3333 0.6667 0.0000 Zr
0.3333 0.6667 0.5000 Zr
0.6667 0.3333 0.0000 Zr
0.6667 0.3333 0.5000 Zr
0.7687 0.0000 0.7500 Zr
0.7687 0.7687 0.2500 Zr
0.0000 0.3985 0.7500 Sn
0.0000 0.6015 0.2500 Sn
0.3985 0.0000 0.7500 Sn
0.3985 0.3985 0.2500 Sn
0.6015 0.0000 0.2500 Sn
0.6015 0.6015 0.7500 Sn
0.0000 0.0000 0.0000 B
0.0000 0.0000 0.5000 B
```

Properties
* VASP energy: -7.990 eV per atom
* E_form: -6.7 eV/f.u.
* volume: 358 Å³ per cell
* calculated density: 7.64 g/cm3



(4)
Computed, not measured: ZrSn3B after structural relaxation at the GGA-PBEsol level of DFT.

```
ZrSn3B
1.0
5.4515 0.0000 0.0000
0.0000 5.4515 0.0000
0.0000 0.0000 5.4515
Zr Sn B
1 3 1
direct
0.0000 0.0000 0.0000 Zr
0.0000 0.0000 0.5000 Sn
0.0000 0.5000 0.0000 Sn
0.5000 0.0000 0.0000 Sn
0.5000 0.5000 0.5000 B
```

Properties
* VASP energy: -4.445 eV per atom
* E_form: 6.7 eV/f.u.
* volume: 162 Å³ per cell
* calculated density: 4.70 g/cm3



(5)
Computed, not measured: SrTa3B after structural relaxation at the GGA-PBEsol level of DFT.

```
SrTa3B
1.0
4.5465 0.0000 0.0000
0.0000 4.5465 0.0000
0.0000 0.0000 4.5465
Sr Ta B
1 3 1
direct
0.0000 0.0000 0.0000 Sr
0.0000 0.5000 0.5000 Ta
0.5000 0.0000 0.5000 Ta
0.5000 0.5000 0.0000 Ta
0.5000 0.5000 0.5000 B
```

Properties
* VASP energy: -8.636 eV per atom
* E_form: 3.3 eV/f.u.
* volume: 94 Å³ per cell
* calculated density: 11.33 g/cm3



(6)
Computed, not measured: SrTaTi2B after structural relaxation at the GGA-PBEsol level of DFT.

```
SrTaTi2B
1.0
4.8091 0.0000 0.0000
0.0000 4.8091 0.0000
0.0000 0.0000 4.6367
Sr Ta Ti B
1 1 2 1
direct
0.0000 0.0000 0.0000 Sr
0.5000 0.5000 0.5000 Ta
0.0000 0.5000 0.5000 Ti
0.5000 0.0000 0.5000 Ti
0.5000 0.5000 0.0000 B
```

Properties
* VASP energy: -6.624 eV per atom
* E_form: 4.9 eV/f.u.
* volume: 107 Å³ per cell
* calculated density: 5.81 g/cm3



(7)
Computed, not measured: Sr3TiB after structural relaxation at the GGA-PBEsol level of DFT.

```
Sr3TiB
1.0
5.5965 0.0000 0.0000
0.0000 5.5965 0.0000
0.0000 0.0000 5.5965
Sr Ti B
3 1 1
direct
0.0000 0.0000 0.5000 Sr
0.0000 0.5000 0.0000 Sr
0.5000 0.0000 0.0000 Sr
0.5000 0.5000 0.5000 Ti
0.0000 0.0000 0.0000 B
```

Properties
* VASP energy: -3.334 eV per atom
* E_form: 4.2 eV/f.u.
* volume: 175 Å³ per cell
* calculated density: 3.05 g/cm3



(8)
Computed, not measured: SrTi2B after structural relaxation at the GGA-PBEsol level of DFT.

```
SrTi2B
1.0
0.0000 4.6799 4.6799
4.6799 0.0000 4.6799
4.6799 4.6799 0.0000
Sr Ti B
2 4 2
direct
0.1250 0.1250 0.1250 Sr
0.8750 0.8750 0.8750 Sr
0.0000 0.5000 0.5000 Ti
0.5000 0.0000 0.5000 Ti
0.5000 0.5000 0.0000 Ti
0.5000 0.5000 0.5000 Ti
0.3750 0.3750 0.3750 B
0.6250 0.6250 0.6250 B
```

Properties
* VASP energy: -5.713 eV per atom
* E_form: 2.6 eV/f.u.
* volume: 205 Å³ per cell
* calculated density: 3.15 g/cm3